# DyYAu2

A geometry-optimized DyYAu2 structure (GGA-PBE, Alexandria).

The value obtained for the energy above the most stable polymorph in this dataset is 0.00 eV per formula unit. As for the magnetization: 0.000 μB per formula unit. The formation enthalpy at 0 K comes out at -85 kJ/mol of atoms. For the density, the calculation gives 11.12 g cm⁻³.

It has space group Pm (No. 6), with a = 3.716 Å, b = 4.704 Å, c = 5.817 Å, α = 90.00°, β = 108.55° and γ = 90.00°. The inequivalent atoms are Dy at (0.000, 0.000, 0.000), Y at (0.277, 0.500, 0.555), Au at (0.550, 0.500, 0.100) and Au at (0.726, 0.000, 0.453).